(1)
DFT (PBEsol) results for a relaxed Ba2FePt crystal.

Cell: 3.816 3.816 7.698 Å, 90.00 90.00 90.98°
Atoms (fractional coordinates):
Ba  0.000  0.000  0.234
Ba  0.000  0.000  0.766
Fe  0.500  0.500  0.500
Pt  0.500  0.500  0.000

Fermi-level density of states in states/eV/cell: 5.2
Uncorrected energy in eV per atom: -4.81
Space group: No. 65
Calculated formation energy in meV/atom: 250



(2)
DFT (PBEsol) results for a relaxed BaFe2Pt crystal.

Cell: 5.674 5.674 5.674 Å, 149.61 126.31 62.96°
Atoms (fractional coordinates):
Ba  0.000  0.000  0.000
Fe  0.294  0.794  0.500
Fe  0.483  0.483  0.000
Pt  0.707  0.207  0.500

Fermi-level density of states in states/eV/cell: 2.7
Uncorrected energy in eV per atom: -6.19
Space group: No. 44
Calculated formation energy in meV/atom: 568



(3)
DFT (PBEsol) results for a relaxed BaFePt crystal.

Cell: 4.144 4.144 4.874 Å, 90.00 90.00 120.00°
Atoms (fractional coordinates):
Ba  0.000  0.000  0.000
Fe  0.667  0.333  0.500
Pt  0.333  0.667  0.500

Fermi-level density of states in states/eV/cell: 2.3
Uncorrected energy in eV per atom: -6.09
Space group: No. 187
Calculated formation energy in meV/atom: -61



(4)
DFT (PBEsol) results for a relaxed BaFe2Pt crystal.

Cell: 3.110 3.178 7.485 Å, 90.00 90.00 90.00°
Atoms (fractional coordinates):
Ba  0.000  0.000  0.000
Fe  0.000  0.000  0.513
Fe  0.500  0.500  0.659
Pt  0.500  0.500  0.322

Fermi-level density of states in states/eV/cell: 4.1
Uncorrected energy in eV per atom: -6.42
Space group: No. 25
Calculated formation energy in meV/atom: 337



(5)
DFT (PBEsol) results for a relaxed Ba2FePt crystal.

Cell: 4.421 4.531 6.357 Å, 90.00 90.00 90.00°
Atoms (fractional coordinates):
Ba  0.000  0.000  0.000
Ba  0.500  0.500  0.497
Fe  0.000  0.000  0.501
Pt  0.500  0.500  0.997

Fermi-level density of states in states/eV/cell: 6.5
Uncorrected energy in eV per atom: -4.61
Space group: No. 25
Calculated formation energy in meV/atom: 446



(6)
DFT (PBEsol) results for a relaxed BaSrFePt2 crystal.

Cell: 5.284 5.284 5.857 Å, 90.00 90.00 90.00°
Atoms (fractional coordinates):
Ba  0.000  0.000  0.000
Sr  0.000  0.000  0.500
Fe  0.500  0.500  0.500
Pt  0.000  0.500  0.000
Pt  0.500  0.000  0.000

Fermi-level density of states in states/eV/cell: 8.7
Uncorrected energy in eV per atom: -3.64
Space group: No. 123
Calculated formation energy in meV/atom: 1741



(7)
DFT (PBEsol) results for a relaxed BaFeRe2Rh crystal.

Cell: 4.406 4.406 5.161 Å, 90.00 90.00 90.00°
Atoms (fractional coordinates):
Ba  0.000  0.000  0.000
Fe  0.000  0.000  0.500
Re  0.000  0.500  0.500
Re  0.500  0.000  0.500
Rh  0.500  0.500  0.000

Fermi-level density of states in states/eV/cell: 8.3
Uncorrected energy in eV per atom: -7.44
Space group: No. 123
Calculated formation energy in meV/atom: 1747



(8)
DFT (PBEsol) results for a relaxed BaFeRe2Te crystal.

Cell: 4.981 4.981 4.785 Å, 90.00 90.00 90.00°
Atoms (fractional coordinates):
Ba  0.000  0.000  0.000
Fe  0.500  0.500  0.000
Re  0.000  0.500  0.500
Re  0.500  0.000  0.500
Te  0.500  0.500  0.500

Fermi-level density of states in states/eV/cell: 5.6
Uncorrected energy in eV per atom: -6.56
Space group: No. 123
Formation energy from raw total energies in eV/atom: 1.70



(9)
DFT (PBEsol) results for a relaxed BaYFeRe2 crystal.

Cell: 4.586 4.586 5.105 Å, 90.00 90.00 90.00°
Atoms (fractional coordinates):
Ba  0.000  0.000  0.000
Y  0.500  0.500  0.000
Fe  0.000  0.000  0.500
Re  0.000  0.500  0.500
Re  0.500  0.000  0.500

Fermi-level density of states in states/eV/cell: 5.5
Uncorrected energy in eV per atom: -7.68
Space group: No. 123
Calculated formation energy in meV/atom: 1235



(10)
DFT (PBEsol) results for a relaxed BaFe2Rh crystal.

Cell: 3.040 3.459 7.148 Å, 90.00 90.00 90.00°
Atoms (fractional coordinates):
Ba  0.000  0.000  0.000
Fe  0.500  0.500  0.345
Fe  0.500  0.500  0.655
Rh  0.000  0.000  0.500

Fermi-level density of states in states/eV/cell: 4.5
Uncorrected energy in eV per atom: -6.53
Space group: No. 47
Calculated formation energy in meV/atom: 523



(11)
DFT (PBEsol) results for a relaxed BaFe2Rh crystal.

Cell: 5.537 5.537 5.537 Å, 148.59 125.24 64.50°
Atoms (fractional coordinates):
Ba  0.000  0.000  0.000
Fe  0.294  0.794  0.500
Fe  0.488  0.488  0.000
Rh  0.708  0.208  0.500

Fermi-level density of states in states/eV/cell: 4.5
Uncorrected energy in eV per atom: -6.27
Space group: No. 44
Calculated formation energy in meV/atom: 779



(12)
DFT (PBEsol) results for a relaxed BaFe2Rh crystal.

Cell: 5.794 5.794 5.794 Å, 149.82 127.24 61.99°
Atoms (fractional coordinates):
Ba  0.000  0.000  0.000
Fe  0.293  0.793  0.500
Fe  0.707  0.207  0.500
Rh  0.500  0.500  0.000

Fermi-level density of states in states/eV/cell: 4.7
Uncorrected energy in eV per atom: -6.25
Space group: No. 71
Calculated formation energy in meV/atom: 804



(13)
DFT (PBEsol) results for a relaxed BaFe2Rh crystal.

Cell: 4.601 4.601 4.601 Å, 60.00 60.00 60.00°
Atoms (fractional coordinates):
Ba  0.000  0.000  0.000
Fe  0.250  0.250  0.250
Fe  0.500  0.500  0.500
Rh  0.750  0.750  0.750

Fermi-level density of states in states/eV/cell: 4.2
Uncorrected energy in eV per atom: -6.16
Space group: No. 216
Calculated formation energy in meV/atom: 890



(14)
DFT (PBEsol) results for a relaxed BaFeRh2 crystal.

Cell: 4.638 4.638 4.638 Å, 60.00 60.00 60.00°
Atoms (fractional coordinates):
Ba  0.000  0.000  0.000
Fe  0.750  0.750  0.750
Rh  0.250  0.250  0.250
Rh  0.500  0.500  0.500

Fermi-level density of states in states/eV/cell: 3.8
Uncorrected energy in eV per atom: -6.13
Space group: No. 216
Calculated formation energy in meV/atom: 715



(15)
DFT (PBEsol) results for a relaxed BaFeRu2 crystal.

Cell: 3.024 3.024 7.750 Å, 90.00 90.00 90.00°
Atoms (fractional coordinates):
Ba  0.000  0.000  0.000
Fe  0.000  0.000  0.500
Ru  0.500  0.500  0.333
Ru  0.500  0.500  0.667

Fermi-level density of states in states/eV/cell: 5.2
Uncorrected energy in eV per atom: -7.17
Space group: No. 123
Calculated formation energy in meV/atom: 695



(16)
DFT (PBEsol) results for a relaxed Ba2FeRu crystal.

Cell: 3.615 3.615 7.978 Å, 90.00 90.00 90.00°
Atoms (fractional coordinates):
Ba  0.000  0.000  0.234
Ba  0.000  0.000  0.766
Fe  0.500  0.500  0.500
Ru  0.500  0.500  0.000

Fermi-level density of states in states/eV/cell: 6.4
Uncorrected energy in eV per atom: -4.84
Space group: No. 123
Calculated formation energy in meV/atom: 1018



(17)
DFT (PBEsol) results for a relaxed BaFeRu2 crystal.

Cell: 2.911 3.505 7.389 Å, 90.00 90.00 90.00°
Atoms (fractional coordinates):
Ba  0.000  0.000  0.000
Fe  0.500  0.500  0.338
Ru  0.000  0.000  0.500
Ru  0.500  0.500  0.661

Fermi-level density of states in states/eV/cell: 4.2
Uncorrected energy in eV per atom: -7.20
Space group: No. 25
Calculated formation energy in meV/atom: 668



(18)
DFT (PBEsol) results for a relaxed BaFeS2 crystal.

Cell: 4.918 4.918 4.918 Å, 60.00 60.00 60.00°
Atoms (fractional coordinates):
Ba  0.000  0.000  0.000
Fe  0.500  0.500  0.500
S  0.250  0.250  0.250
S  0.750  0.750  0.750

Fermi-level density of states in states/eV/cell: 5.9
Uncorrected energy in eV per atom: -5.42
Space group: No. 225
Formation energy from raw total energies in eV/atom: -0.45



(19)
DFT (PBEsol) results for a relaxed BaFeSb4 crystal.

Cell: 6.244 6.244 6.244 Å, 60.00 60.00 60.00°
Atoms (fractional coordinates):
Ba  0.000  0.000  0.000
Fe  0.750  0.750  0.750
Sb  0.377  0.377  0.377
Sb  0.377  0.377  0.869
Sb  0.377  0.869  0.377
Sb  0.869  0.377  0.377

Fermi-level density of states in states/eV/cell: 7.9
Uncorrected energy in eV per atom: -4.62
Space group: No. 216
Formation energy from raw total energies in eV/atom: 0.27



(20)
DFT (PBEsol) results for a relaxed BaFe4Sb12 crystal.

Cell: 7.887 7.887 7.887 Å, 109.47 109.47 109.47°
Atoms (fractional coordinates):
Ba  0.000  0.000  0.000
Fe  0.000  0.000  0.500
Fe  0.000  0.500  0.000
Fe  0.500  0.000  0.000
Fe  0.500  0.500  0.500
Sb  0.165  0.338  0.502
Sb  0.165  0.662  0.827
Sb  0.173  0.835  0.338
Sb  0.338  0.173  0.835
Sb  0.338  0.502  0.165
Sb  0.498  0.835  0.662
Sb  0.502  0.165  0.338
Sb  0.662  0.498  0.835
Sb  0.662  0.827  0.165
Sb  0.827  0.165  0.662
Sb  0.835  0.338  0.173
Sb  0.835  0.662  0.498

Fermi-level density of states in states/eV/cell: 15.8
Uncorrected energy in eV per atom: -5.69
Space group: No. 204
Formation energy from raw total energies in eV/atom: -0.24



(21)
DFT (PBEsol) results for a relaxed BaFeSbTe2 crystal.

Cell: 5.431 5.431 4.833 Å, 90.00 90.00 90.00°
Atoms (fractional coordinates):
Ba  0.000  0.000  0.000
Fe  0.500  0.500  0.500
Sb  0.500  0.500  0.000
Te  0.000  0.500  0.500
Te  0.500  0.000  0.500

Fermi-level density of states in states/eV/cell: 5.4
Uncorrected energy in eV per atom: -4.95
Space group: No. 123
Formation energy from raw total energies in eV/atom: -0.40



(22)
DFT (PBEsol) results for a relaxed Ba2ScFe crystal.

Cell: 5.491 5.491 5.491 Å, 60.00 60.00 60.00°
Atoms (fractional coordinates):
Ba  0.000  0.000  0.000
Ba  0.250  0.250  0.250
Sc  0.750  0.750  0.750
Fe  0.500  0.500  0.500

Fermi-level density of states in states/eV/cell: 9.6
Uncorrected energy in eV per atom: -4.20
Space group: No. 216
Calculated formation energy in meV/atom: 769



(23)
DFT (PBEsol) results for a relaxed Ba2ScFe crystal.

Cell: 10.913 10.913 10.913 Å, 19.25 19.25 19.25°
Atoms (fractional coordinates):
Ba  0.237  0.237  0.237
Ba  0.763  0.763  0.763
Sc  0.000  0.000  0.000
Fe  0.500  0.500  0.500

Fermi-level density of states in states/eV/cell: 8.5
Uncorrected energy in eV per atom: -4.14
Space group: No. 166
Calculated formation energy in meV/atom: 825



(24)
DFT (PBEsol) results for a relaxed BaFe2Se3 crystal.

Cell: 7.008 7.008 5.307 Å, 90.00 90.00 100.85°
Atoms (fractional coordinates):
Ba  0.177  0.823  0.750
Ba  0.823  0.177  0.250
Fe  0.357  0.357  0.000
Fe  0.357  0.357  0.500
Fe  0.643  0.643  0.000
Fe  0.643  0.643  0.500
Se  0.091  0.321  0.750
Se  0.321  0.091  0.250
Se  0.378  0.622  0.250
Se  0.622  0.378  0.750
Se  0.679  0.909  0.750
Se  0.909  0.679  0.250

Fermi-level density of states in states/eV/cell: 4.7
Uncorrected energy in eV per atom: -6.08
Space group: No. 63
Formation energy from raw total energies in eV/atom: -0.80



(25)
DFT (PBEsol) results for a relaxed BaFeSe2 crystal.

Cell: 5.115 5.115 3.687 Å, 90.00 90.00 90.00°
Atoms (fractional coordinates):
Ba  0.000  0.000  0.000
Fe  0.500  0.500  0.000
Se  0.000  0.500  0.500
Se  0.500  0.000  0.500

Fermi-level density of states in states/eV/cell: 6.0
Uncorrected energy in eV per atom: -5.03
Space group: No. 123
Formation energy from raw total energies in eV/atom: -0.32



(26)
DFT (PBEsol) results for a relaxed BaFeSe2 crystal.

Cell: 5.086 5.086 5.086 Å, 60.00 60.00 60.00°
Atoms (fractional coordinates):
Ba  0.000  0.000  0.000
Fe  0.750  0.750  0.750
Se  0.250  0.250  0.250
Se  0.500  0.500  0.500

Fermi-level density of states in states/eV/cell: 7.1
Uncorrected energy in eV per atom: -4.61
Space group: No. 216
Formation energy from raw total energies in eV/atom: 0.09



(27)
DFT (PBEsol) results for a relaxed Ba3UFeSe6 crystal.

Cell: 8.471 8.471 8.471 Å, 94.05 94.05 94.05°
Atoms (fractional coordinates):
Ba  0.132  0.750  0.368
Ba  0.250  0.632  0.868
Ba  0.368  0.132  0.750
Ba  0.632  0.868  0.250
Ba  0.750  0.368  0.132
Ba  0.868  0.250  0.632
U  0.250  0.250  0.250
U  0.750  0.750  0.750
Fe  0.000  0.000  0.000
Fe  0.500  0.500  0.500
Se  0.037  0.912  0.705
Se  0.088  0.295  0.963
Se  0.205  0.412  0.537
Se  0.295  0.963  0.088
Se  0.412  0.537  0.205
Se  0.463  0.795  0.588
Se  0.537  0.205  0.412
Se  0.588  0.463  0.795
Se  0.705  0.037  0.912
Se  0.795  0.588  0.463
Se  0.912  0.705  0.037
Se  0.963  0.088  0.295

Fermi-level density of states in states/eV/cell: 15.1
Uncorrected energy in eV per atom: -6.04
Space group: No. 167
Formation energy from raw total energies in eV/atom: -1.43



(28)
DFT (PBEsol) results for a relaxed Ba2SrFe crystal.

Cell: 5.904 5.904 5.904 Å, 60.00 60.00 60.00°
Atoms (fractional coordinates):
Ba  0.000  0.000  0.000
Ba  0.250  0.250  0.250
Sr  0.750  0.750  0.750
Fe  0.500  0.500  0.500

Fermi-level density of states in states/eV/cell: 6.5
Uncorrected energy in eV per atom: -3.09
Space group: No. 216
Calculated formation energy in meV/atom: 689